Entry 1:
# PBE Si2HgOs, optimized geometry
data_Si2HgOs
_chemical_formula_sum 'Si2 Hg1 Os1'
_space_group_name_H-M_alt 'P 1'
_space_group_IT_number 1
_space_group_name_Hall 'P 1'
_cell_length_a 2.9966
_cell_length_b 2.9156
_cell_length_c 7.9561
_cell_angle_alpha 90.03
_cell_angle_beta 90.00
_cell_angle_gamma 90.00
loop_
_atom_site_label
_atom_site_fract_x
_atom_site_fract_y
_atom_site_fract_z
Si1 0.0000 0.2502 0.9337
Si2 0.0000 0.2498 0.5663
Os1 0.5000 0.7500 0.7500
Hg1 0.5000 0.2500 0.2500
# magnetic moment	0.00	Bohr magnetons per cell
# E_form (uncorrected)	0.098	eV per atom

Entry 2:
# PBE SiHgOs, optimized geometry
data_SiHgOs
_chemical_formula_sum 'Si1 Hg1 Os1'
_space_group_name_H-M_alt 'P 1'
_space_group_IT_number 1
_space_group_name_Hall 'P 1'
_cell_length_a 2.9907
_cell_length_b 2.9907
_cell_length_c 6.6237
_cell_angle_alpha 90.00
_cell_angle_beta 90.00
_cell_angle_gamma 120.00
loop_
_atom_site_label
_atom_site_fract_x
_atom_site_fract_y
_atom_site_fract_z
Hg1 0.0000 0.0000 0.0018
Os1 0.6667 0.3333 0.3742
Si1 0.3333 0.6667 0.6241
# energy above the most stable polymorph in this dataset	89	meV per atom
# magnetic moment	0.00	Bohr magnetons per cell
# E_form (uncorrected)	0.375	eV per atom

Entry 3:
# PBE Si2HgOs, optimized geometry
data_Si2HgOs
_chemical_formula_sum 'Si4 Hg2 Os2'
_space_group_name_H-M_alt 'P 1'
_space_group_IT_number 1
_space_group_name_Hall 'P 1'
_cell_length_a 5.8265
_cell_length_b 5.8265
_cell_length_c 6.8410
_cell_angle_alpha 64.80
_cell_angle_beta 64.80
_cell_angle_gamma 90.00
loop_
_atom_site_label
_atom_site_fract_x
_atom_site_fract_y
_atom_site_fract_z
Os1 0.2500 0.7500 0.5000
Os2 0.5000 0.5000 0.0000
Si1 0.3750 0.4328 0.7500
Si2 0.5672 0.1250 0.2500
Si3 0.8750 0.8172 0.7500
Si4 0.1828 0.6250 0.2500
Hg1 0.0000 0.0000 0.0000
Hg2 0.7500 0.2500 0.5000
# magnetic moment	0.00	Bohr magnetons per cell
# E_form (uncorrected)	0.492	eV per atom

Entry 4:
# PBE SiHgOs, optimized geometry
data_SiHgOs
_chemical_formula_sum 'Si1 Hg1 Os1'
_space_group_name_H-M_alt 'P 1'
_space_group_IT_number 1
_space_group_name_Hall 'P 1'
_cell_length_a 4.0887
_cell_length_b 4.0887
_cell_length_c 3.5636
_cell_angle_alpha 90.00
_cell_angle_beta 90.00
_cell_angle_gamma 120.00
loop_
_atom_site_label
_atom_site_fract_x
_atom_site_fract_y
_atom_site_fract_z
Si1 0.6667 0.3333 0.5003
Os1 0.3333 0.6667 0.4998
Hg1 0.0000 0.0000 0.9999
# energy above the most stable polymorph in this dataset	48	meV per atom
# magnetic moment	0.00	Bohr magnetons per cell
# E_form (uncorrected)	0.334	eV per atom

Entry 5:
# PBE Si2HgOs, optimized geometry
data_Si2HgOs
_chemical_formula_sum 'Si2 Hg1 Os1'
_space_group_name_H-M_alt 'P 1'
_space_group_IT_number 1
_space_group_name_Hall 'P 1'
_cell_length_a 4.4716
_cell_length_b 4.4716
_cell_length_c 8.0187
_cell_angle_alpha 117.94
_cell_angle_beta 117.94
_cell_angle_gamma 40.72
loop_
_atom_site_label
_atom_site_fract_x
_atom_site_fract_y
_atom_site_fract_z
Hg1 0.4787 0.4787 0.4707
Si1 0.0424 0.0424 0.1113
Si2 0.6662 0.6662 0.8356
Os1 0.3128 0.3128 0.0824
# magnetic moment	0.00	Bohr magnetons per cell
# E_form (uncorrected)	0.128	eV per atom

Entry 6:
# PBE Si2HgOs, optimized geometry
data_Si2HgOs
_chemical_formula_sum 'Si2 Hg1 Os1'
_space_group_name_H-M_alt 'P 1'
_space_group_IT_number 1
_space_group_name_Hall 'P 1'
_cell_length_a 4.6730
_cell_length_b 4.6730
_cell_length_c 4.6730
_cell_angle_alpha 127.22
_cell_angle_beta 127.22
_cell_angle_gamma 77.90
loop_
_atom_site_label
_atom_site_fract_x
_atom_site_fract_y
_atom_site_fract_z
Hg1 0.2500 0.7500 0.5000
Si1 0.5000 0.5000 0.0000
Si2 0.0000 0.0000 0.0000
Os1 0.7500 0.2500 0.5000
# magnetic moment	0.00	Bohr magnetons per cell
# E_form (uncorrected)	0.653	eV per atom

Entry 7:
# PBE Si2HgOs, optimized geometry
data_Si2HgOs
_chemical_formula_sum 'Si2 Hg1 Os1'
_space_group_name_H-M_alt 'P 1'
_space_group_IT_number 1
_space_group_name_Hall 'P 1'
_cell_length_a 4.5325
_cell_length_b 4.5325
_cell_length_c 4.5325
_cell_angle_alpha 60.00
_cell_angle_beta 60.00
_cell_angle_gamma 60.00
loop_
_atom_site_label
_atom_site_fract_x
_atom_site_fract_y
_atom_site_fract_z
Os1 0.7500 0.7500 0.7500
Hg1 0.5000 0.5000 0.5000
Si1 0.2500 0.2500 0.2500
Si2 0.0000 0.0000 0.0000
# magnetic moment	0.00	Bohr magnetons per cell
# E_form (uncorrected)	0.906	eV per atom

Entry 8:
# PBE Si2HgOs, optimized geometry
data_Si2HgOs
_chemical_formula_sum 'Si2 Hg1 Os1'
_space_group_name_H-M_alt 'P 1'
_space_group_IT_number 1
_space_group_name_Hall 'P 1'
_cell_length_a 4.4108
_cell_length_b 3.2851
_cell_length_c 4.8929
_cell_angle_alpha 70.60
_cell_angle_beta 90.00
_cell_angle_gamma 90.00
loop_
_atom_site_label
_atom_site_fract_x
_atom_site_fract_y
_atom_site_fract_z
Hg1 0.0000 0.5416 0.5372
Si1 0.0000 0.8116 0.0029
Si2 0.5000 0.2241 0.1801
Os1 0.5000 0.9228 0.7797
# magnetic moment	0.00	Bohr magnetons per cell
# E_form (uncorrected)	0.325	eV per atom